{
  "formula": "Li3Fe3P4O16",
  "functional": "PBE+U",
  "state": "relaxed",
  "cell": [[8.544, -0.078, 0.008], [-3.726, 8.234, 0.009], [-2.396, -3.407, 8.350]],
  "species": ["Li", "Li", "Li", "Li", "Li", "Li", "Fe", "Fe", "Fe", "Fe", "Fe", "Fe", "P", "P", "P", "P", "P", "P", "P", "P", "O", "O", "O", "O", "O", "O", "O", "O", "O", "O", "O", "O", "O", "O", "O", "O", "O", "O", "O", "O", "O", "O", "O", "O", "O", "O", "O", "O", "O", "O", "O", "O"],
  "fractional_positions": [[0.218, 0.024, 0.466], [0.186, 0.939, 0.859], [0.419, 0.893, 0.699], [0.581, 0.107, 0.301], [0.814, 0.061, 0.141], [0.782, 0.976, 0.534], [0.993, 0.515, 0.230], [0.658, 0.639, 0.177], [0.713, 0.782, 0.735], [0.287, 0.218, 0.265], [0.342, 0.361, 0.823], [0.007, 0.485, 0.770], [0.434, 0.654, 0.373], [0.981, 0.811, 0.081], [0.444, 0.769, 0.960], [0.956, 0.709, 0.533], [0.044, 0.291, 0.467], [0.556, 0.231, 0.040], [0.019, 0.189, 0.919], [0.566, 0.346, 0.627], [0.179, 0.961, 0.206], [0.551, 0.925, 0.116], [0.160, 0.844, 0.570], [0.598, 0.764, 0.326], [0.260, 0.659, 0.285], [0.833, 0.832, 0.140], [0.508, 0.760, 0.556], [0.234, 0.719, 0.883], [0.860, 0.806, 0.597], [0.540, 0.799, 0.842], [0.414, 0.470, 0.323], [0.958, 0.631, 0.075], [0.856, 0.619, 0.341], [0.068, 0.435, 0.400], [0.943, 0.819, 0.912], [0.563, 0.402, 0.014], [0.437, 0.598, 0.986], [0.057, 0.181, 0.088], [0.932, 0.565, 0.600], [0.144, 0.381, 0.659], [0.042, 0.369, 0.925], [0.586, 0.530, 0.677], [0.460, 0.201, 0.158], [0.140, 0.194, 0.403], [0.766, 0.281, 0.117], [0.492, 0.240, 0.444], [0.167, 0.168, 0.860], [0.740, 0.341, 0.715], [0.402, 0.236, 0.674], [0.840, 0.156, 0.430], [0.449, 0.075, 0.884], [0.821, 0.039, 0.794]],
  "total_energy_ev_per_atom": -6.72,
  "density_g_cm3": 3.22,
  "spacegroup": "P-1"
}